# 1
A relaxed structure of K2AlAu5, computed with PBE.

abc: 6.989 6.977 6.975
angles: 79.14 122.05 131.00
Fractional positions:
K (0.500, 0.712, 0.213)
K (0.500, 0.245, 0.744)
Al (0.000, 0.052, 0.053)
Au (0.029, 0.726, 0.265)
Au (0.537, 0.234, 0.264)
Au (0.463, 0.728, 0.697)
Au (0.971, 0.236, 0.697)
Au (0.000, 0.290, 0.290)

Properties
total magnetic moment = 0.000 μB per cell
ΔE_f = -0.3016 eV/atom
space group = P1

***

# 2
A relaxed structure of Ce2H5, computed with PBE.

abc: 4.701 5.785 6.847
angles: 114.99 110.08 90.00
Site moments in Bohr magnetons follow the coordinates.
Fractional positions:
Ce (0.378, 0.638, 0.756)  0.85
Ce (0.622, 0.362, 0.244)  0.85
Ce (0.878, 0.119, 0.756)  0.85
Ce (0.122, 0.881, 0.244)  0.85
H (0.079, 0.236, 0.158)  -0.01
H (0.921, 0.764, 0.842)  -0.01
H (0.579, 0.923, 0.158)  -0.01
H (0.421, 0.077, 0.842)  -0.01
H (0.494, 0.744, 0.488)  -0.01
H (0.006, 0.256, 0.512)  -0.01
H (0.506, 0.256, 0.512)  -0.01
H (0.994, 0.744, 0.488)  -0.01
H (0.750, 0.500, 0.000)  -0.01
H (0.250, 0.500, 0.000)  -0.01

Properties
relative energy among the computed polymorphs = 18 meV/atom
total magnetic moment = 4.215 μB per cell
space group = Ibam

***

Question: Which value of total magnetic moment does entry 1 give?
Answer: 0.000 μB per cell

***

Question: Number 1 is which compound?
Answer: K2AlAu5

***

Question: total magnetic moment of number 2 (Ce2H5)?
Answer: 4.215 μB per cell